Record 1
Computed, not measured: crystalline AgOs2Cl at its relaxed geometry at the PBE level of DFT.

Summary:
Formation energy (no corrections) (eV/atom): 1.180
DFT total energy (eV/atom): -5.61
Crystal system: monoclinic
Distance to the lowest polymorph of the same formula (meV/atom): 835

Structure (CIF):
```
data_AgOs2Cl
_symmetry_space_group_name_H-M 'C 1 2/m 1'
_symmetry_Int_Tables_number 12
_symmetry_space_group_name_Hall '-C 2y'
_cell_length_a 5.349
_cell_length_b 10.307
_cell_length_c 2.829
_cell_angle_alpha 90.00
_cell_angle_beta 121.69
_cell_angle_gamma 90.00
loop_
_atom_site_label
_atom_site_type_symbol
_atom_site_fract_x
_atom_site_fract_y
_atom_site_fract_z
_atom_site_occupancy
Ag1 Ag 0.000 0.000 0.000 1
Os1 Os 0.250 0.250 0.500 1
Cl1 Cl 0.000 0.500 0.000 1
```



Record 2
Computed, not measured: crystalline AgOs2Cl at its relaxed geometry at the PBE level of DFT.

Summary:
Formation energy (no corrections) (eV/atom): 1.117
DFT total energy (eV/atom): -5.67
Crystal system: orthorhombic
Distance to the lowest polymorph of the same formula (meV/atom): 772

Structure (CIF):
```
data_AgOs2Cl
_symmetry_space_group_name_H-M 'I m m 2'
_symmetry_Int_Tables_number 44
_symmetry_space_group_name_Hall 'I 2 -2'
_cell_length_a 2.804
_cell_length_b 4.921
_cell_length_c 9.673
_cell_angle_alpha 90.00
_cell_angle_beta 90.00
_cell_angle_gamma 90.00
loop_
_atom_site_label
_atom_site_type_symbol
_atom_site_fract_x
_atom_site_fract_y
_atom_site_fract_z
_atom_site_occupancy
Ag1 Ag 0.000 0.000 0.000 1
Os1 Os 0.000 0.000 0.511 1
Os2 Os 0.000 0.500 0.226 1
Cl1 Cl 0.000 0.500 0.788 1
```



Record 3
Computed, not measured: crystalline Ag2OsCl at its relaxed geometry at the PBE level of DFT.

Summary:
Formation energy (no corrections) (eV/atom): 1.107
DFT total energy (eV/atom): -3.59
Crystal system: tetragonal
Distance to the lowest polymorph of the same formula (meV/atom): 601

Structure (CIF):
```
data_Ag2OsCl
_symmetry_space_group_name_H-M 'I -4 m 2'
_symmetry_Int_Tables_number 119
_symmetry_space_group_name_Hall 'I -4 -2'
_cell_length_a 4.204
_cell_length_b 4.204
_cell_length_c 8.110
_cell_angle_alpha 90.00
_cell_angle_beta 90.00
_cell_angle_gamma 90.00
loop_
_atom_site_label
_atom_site_type_symbol
_atom_site_fract_x
_atom_site_fract_y
_atom_site_fract_z
_atom_site_occupancy
Ag1 Ag 0.000 0.000 0.000 1
Ag2 Ag 0.000 0.500 0.250 1
Os1 Os 0.000 0.000 0.500 1
Cl1 Cl 0.000 0.500 0.750 1
```



Record 4
Computed, not measured: crystalline Ag2OsCl at its relaxed geometry at the PBE level of DFT.

Summary:
Formation energy (no corrections) (eV/atom): 0.630
DFT total energy (eV/atom): -4.06
Crystal system: tetragonal
Distance to the lowest polymorph of the same formula (meV/atom): 123

Structure (CIF):
```
data_Ag2OsCl
_symmetry_space_group_name_H-M 'P 4/m m m'
_symmetry_Int_Tables_number 123
_symmetry_space_group_name_Hall '-P 4 2'
_cell_length_a 2.921
_cell_length_b 2.921
_cell_length_c 8.185
_cell_angle_alpha 90.00
_cell_angle_beta 90.00
_cell_angle_gamma 90.00
loop_
_atom_site_label
_atom_site_type_symbol
_atom_site_fract_x
_atom_site_fract_y
_atom_site_fract_z
_atom_site_occupancy
Ag1 Ag 0.000 0.000 0.246 1
Os1 Os 0.500 0.500 0.000 1
Cl1 Cl 0.500 0.500 0.500 1
```